# 1
Below is an optimized crystal structure of SiBi2O5, with properties calculated at the GGA-PBE level.

Cell lengths 7.0571, 8.2731, 10.0901 Å; angles 73.47, 69.53, 64.75 degrees
Closest atoms and distances in Å follow each position.
Fractional positions:
1 Si 0.2711 0.4397 0.1967  4 O 1.65-1.66
2 Si 0.9074 0.0603 0.3033  4 O 1.65-1.66
3 Si 0.0926 0.9397 0.6967  4 O 1.65-1.66
4 Si 0.7289 0.5603 0.8033  4 O 1.65-1.66
5 O 0.6108 0.8651 0.1052  3 Bi 2.26-2.44
6 O 0.1283 0.5273 0.0777  1 Si 1.65
7 O 0.8404 0.2693 0.3257  1 Si 1.65
8 O 0.1596 0.7307 0.6743  1 Si 1.65
9 O 0.8717 0.4727 0.9223  1 Si 1.65
10 O 0.0850 0.9442 0.8617  1 Si 1.66
11 O 0.8457 0.0700 0.6787  1 Si 1.65
12 O 0.8908 0.5558 0.6383  1 Si 1.66
13 O 0.9150 0.0558 0.1383  1 Si 1.66
14 O 0.5646 0.7693 0.8257  1 Si 1.65
15 O 0.3892 0.1349 0.8948  3 Bi 2.26-2.44
16 O 0.4056 0.5700 0.1787  1 Si 1.65
17 O 0.2667 0.0273 0.5777  1 Si 1.65
18 O 0.4190 0.3651 0.6052  3 Bi 2.26-2.44
19 O 0.1092 0.4442 0.3617  1 Si 1.66
20 O 0.7333 0.9727 0.4223  1 Si 1.65
21 O 0.1543 0.9300 0.3213  1 Si 1.65
22 O 0.5944 0.4300 0.8213  1 Si 1.65
23 O 0.4354 0.2307 0.1743  1 Si 1.65
24 O 0.5810 0.6349 0.3948  3 Bi 2.26-2.44
25 Bi 0.2924 0.8958 0.0191  4 O 2.26-2.44
26 Bi 0.2073 0.6042 0.4809  4 O 2.26-2.44
27 Bi 0.7076 0.1042 0.9809  4 O 2.26-2.44
28 Bi 0.2480 0.4508 0.8430  6 O 2.31-2.44
29 Bi 0.4582 0.9508 0.3430  6 O 2.31-2.44
30 Bi 0.7927 0.3958 0.5191  4 O 2.26-2.44
31 Bi 0.7520 0.5492 0.1570  6 O 2.31-2.44
32 Bi 0.5418 0.0492 0.6570  6 O 2.31-2.44

The calculated volume is 123.19 Å³/f.u. As for the electronic total energy: -0.484 Ry/atom.



# 2
Below is an optimized crystal structure of OsW2Se5, with properties calculated at the GGA-PBE level.

Cell lengths 7.0617, 10.3345, 10.9857 Å; angles 90.00, 90.00, 90.00 degrees
Closest atoms and distances in Å follow each position.
Fractional positions:
1 W 0.7959 0.0000 0.0000  6 Se 2.53-2.61
2 W 0.2959 0.5000 0.5000  6 Se 2.53-2.61
3 W 0.5000 0.3885 0.0921  4 Se 2.43-2.46
4 W 0.0000 0.8885 0.4079  4 Se 2.43-2.46
5 W 0.7041 0.5000 0.5000  6 Se 2.53-2.61
6 W 0.5000 0.6115 0.9079  4 Se 2.43-2.46
7 W 0.2041 0.0000 0.0000  6 Se 2.53-2.61
8 W 0.0000 0.1115 0.5921  4 Se 2.43-2.46
9 Se 0.2498 0.7273 0.4085  1 Os 2.34, 2 W 2.43-2.58
10 Se 0.5000 0.3905 0.3413  3 W 2.53-2.74
11 Se 0.2502 0.7727 0.9085  1 Os 2.34, 2 W 2.43-2.58
12 Se 0.7502 0.7273 0.4085  1 Os 2.34, 2 W 2.43-2.58
13 Se 0.5000 0.6095 0.6587  3 W 2.53-2.74
14 Se 0.7498 0.2273 0.0915  1 Os 2.34, 2 W 2.43-2.58
15 Se 0.5000 0.0419 0.8628  1 Os 2.37, 2 W 2.61
16 Se 0.2502 0.2273 0.0915  1 Os 2.34, 2 W 2.43-2.58
17 Se 0.0000 0.1214 0.3687  1 Os 2.34, 2 W 2.44-2.46
18 Se 0.5000 0.6214 0.1313  1 Os 2.34, 2 W 2.44-2.46
19 Se 0.0000 0.8905 0.1587  3 W 2.53-2.74
20 Se 0.0000 0.5419 0.6372  1 Os 2.37, 2 W 2.61
21 Se 0.7502 0.2727 0.5915  1 Os 2.34, 2 W 2.43-2.58
22 Se 0.0000 0.4581 0.3628  1 Os 2.37, 2 W 2.61
23 Se 0.5000 0.9581 0.1372  1 Os 2.37, 2 W 2.61
24 Se 0.2498 0.2727 0.5915  1 Os 2.34, 2 W 2.43-2.58
25 Se 0.0000 0.8786 0.6313  1 Os 2.34, 2 W 2.44-2.46
26 Se 0.7498 0.7727 0.9085  1 Os 2.34, 2 W 2.43-2.58
27 Se 0.5000 0.3786 0.8687  1 Os 2.34, 2 W 2.44-2.46
28 Se 0.0000 0.1095 0.8413  3 W 2.53-2.74
29 Os 0.0000 0.7150 0.7791  4 Se 2.34-2.37
30 Os 0.5000 0.2150 0.7209  4 Se 2.34-2.37
31 Os 0.5000 0.7850 0.2791  4 Se 2.34-2.37
32 Os 0.0000 0.2850 0.2209  4 Se 2.34-2.37

The calculated volume is 200.43 Å³/f.u. As for the electronic total energy: -0.484 Ry/atom.



# 3
Below is an optimized crystal structure of TiHgCl3, with properties calculated at the GGA-PBE level.

Cell lengths 6.0412, 6.0412, 10.5870 Å; angles 73.42, 73.42, 60.00 degrees
Closest atoms and distances in Å follow each position.
Fractional positions:
1 Hg 0.6654 0.6654 0.0038  3 Hg 3.49
2 Hg 0.3346 0.3346 0.9963  3 Hg 3.49
3 Cl 0.1057 0.4528 0.6415  2 Ti 2.43
4 Cl 0.5472 0.1999 0.3586  2 Ti 2.43
5 Cl 0.4528 0.8001 0.6415  2 Ti 2.43
6 Cl 0.8001 0.1057 0.6415  2 Ti 2.43
7 Cl 0.1999 0.8943 0.3586  2 Ti 2.43
8 Cl 0.8943 0.5472 0.3586  2 Ti 2.43
9 Ti 0.1667 0.1667 0.5000  6 Cl 2.43
10 Ti 0.8333 0.8333 0.5000  6 Cl 2.43

The calculated volume is 157.97 Å³/f.u. As for the electronic total energy: -0.294 Ry/atom.



# 4
Below is an optimized crystal structure of Cr2Te2Pb, with properties calculated at the GGA-PBE level.

Cell lengths 3.5210, 3.5210, 9.9794 Å; angles 79.84, 79.84, 90.00 degrees
Closest atoms and distances in Å follow each position.
Fractional positions:
1 Te 0.6477 0.6477 0.7046  4 Cr 2.65
2 Te 0.3523 0.3523 0.2954  4 Cr 2.65
3 Pb 0.0000 0.0000 0.0000  4 Pb 3.52, 8 Te 3.79
4 Cr 0.2500 0.7500 0.5000  4 Cr 2.49, 4 Te 2.65
5 Cr 0.7500 0.2500 0.5000  4 Cr 2.49, 4 Te 2.65

The calculated volume is 119.80 Å³/f.u. As for the electronic total energy: -0.418 Ry/atom.



# 5
Below is an optimized crystal structure of Cu3Pt2, with properties calculated at the GGA-PBE level.

Cell lengths 5.0777, 5.0777, 6.8667 Å; angles 80.81, 80.81, 124.60 degrees
Closest atoms and distances in Å follow each position.
Fractional positions:
1 Cu 0.0874 0.5207 0.6960  5 Cu 2.56-2.83, 6 Pt 2.58-2.82
2 Cu 0.2707 0.3374 0.1960  5 Cu 2.56-2.83, 6 Pt 2.58-2.82
3 Cu 0.6836 0.1836 0.5000  4 Cu 2.56-2.83, 6 Pt 2.57-2.71
4 Cu 0.9336 0.9336 0.0000  4 Cu 2.56-2.83, 6 Pt 2.57-2.71
5 Cu 0.2167 0.7833 0.3040  5 Cu 2.56-2.83, 6 Pt 2.58-2.82
6 Cu 0.5333 0.4667 0.8040  5 Cu 2.56-2.83, 6 Pt 2.58-2.82
7 Pt 0.4567 0.9098 0.8959  9 Cu 2.57-2.82, 2 Pt 2.75
8 Pt 0.1026 0.0557 0.6041  9 Cu 2.57-2.82, 2 Pt 2.75
9 Pt 0.8057 0.3526 0.1041  9 Cu 2.57-2.82, 2 Pt 2.75
10 Pt 0.6598 0.7067 0.3959  9 Cu 2.57-2.82, 2 Pt 2.75

The formation energy from the elements comes out at -81.5 meV per atom. The calculated volume is 68.42 Å³/f.u. As for the electronic total energy: -0.364 Ry/atom.



# 6
Below is an optimized crystal structure of Pr3YSb2, with properties calculated at the GGA-PBE level.

Cell lengths 6.5344, 6.5021, 9.9769 Å; angles 109.02, 109.12, 90.00 degrees
Closest atoms and distances in Å follow each position.
Fractional positions:
1 Pr 0.4289 0.6772 0.3543  5 Sb 3.28-3.37
2 Pr 0.5000 0.7500 0.0000  2 Pr 3.25, 2 Y 3.27, 4 Sb 3.37
3 Pr 0.0746 0.8228 0.6457  5 Sb 3.28-3.37
4 Pr 0.9254 0.1772 0.3543  5 Sb 3.28-3.37
5 Pr 0.5711 0.3228 0.6457  5 Sb 3.28-3.37
6 Pr 0.5000 0.2500 0.0000  2 Pr 3.25, 2 Y 3.27, 4 Sb 3.37
7 Y 0.0000 0.2500 0.0000  2 Y 3.25, 2 Pr 3.27, 4 Sb 3.33
8 Y 0.0000 0.7500 0.0000  2 Y 3.25, 2 Pr 3.27, 4 Sb 3.33
9 Sb 0.3819 0.1373 0.2747  7 Pr 3.28-3.37, 2 Y 3.33
10 Sb 0.1072 0.3627 0.7253  7 Pr 3.28-3.37, 2 Y 3.33
11 Sb 0.8928 0.6373 0.2747  7 Pr 3.28-3.37, 2 Y 3.33
12 Sb 0.6181 0.8627 0.7253  7 Pr 3.28-3.37, 2 Y 3.33

The calculated volume is 187.97 Å³/f.u. As for the electronic total energy: -0.417 Ry/atom.



# 7
Below is an optimized crystal structure of ErFe12B6, with properties calculated at the GGA-PBE level.

Cell lengths 6.0208, 6.0208, 6.0208 Å; angles 104.36, 104.36, 104.36 degrees
Closest atoms and distances in Å follow each position.
Fractional positions:
1 Fe 0.5000 0.1290 0.8710  4 B 2.02-2.05
2 Fe 0.4517 0.1850 0.4517  3 B 2.14-2.22
3 Fe 0.8710 0.5000 0.1290  4 B 2.02-2.05
4 Fe 0.1290 0.8710 0.5000  4 B 2.02-2.05
5 Fe 0.5483 0.8150 0.5483  3 B 2.14-2.22
6 Fe 0.1290 0.5000 0.8710  4 B 2.02-2.05
7 Fe 0.5483 0.5483 0.8150  3 B 2.14-2.22
8 Fe 0.1850 0.4517 0.4517  3 B 2.14-2.22
9 Fe 0.5000 0.8710 0.1290  4 B 2.02-2.05
10 Fe 0.4517 0.4517 0.1850  3 B 2.14-2.22
11 Fe 0.8150 0.5483 0.5483  3 B 2.14-2.22
12 Fe 0.8710 0.1290 0.5000  4 B 2.02-2.05
13 B 0.3041 0.7668 0.7668  7 Fe 2.02-2.22
14 B 0.2332 0.6959 0.2332  7 Fe 2.02-2.22
15 B 0.7668 0.3041 0.7668  7 Fe 2.02-2.22
16 B 0.6959 0.2332 0.2332  7 Fe 2.02-2.22
17 B 0.2332 0.2332 0.6959  7 Fe 2.02-2.22
18 B 0.7668 0.7668 0.3041  7 Fe 2.02-2.22
19 Er 0.0000 0.0000 0.0000  6 B 2.98, 18 Fe 3.06-3.25

The formation energy from the elements comes out at -285.8 meV per atom. The calculated volume is 193.38 Å³/f.u. As for the electronic total energy: -0.586 Ry/atom.



# 8
Below is an optimized crystal structure of Sr2ReHg, with properties calculated at the GGA-PBE level.

Cell lengths 6.2471, 6.2471, 5.7718 Å; angles 74.66, 74.66, 29.73 degrees
Closest atoms and distances in Å follow each position.
Fractional positions:
1 Sr 0.9662 0.9662 0.0696  3 Sr 3.21-3.56, 3 Re 3.31-3.36, 4 Hg 3.38-3.45
2 Sr 0.7771 0.7771 0.6927  3 Sr 3.21-3.56, 3 Hg 3.28-3.45, 4 Re 3.33-3.42
3 Hg 0.5399 0.5399 0.5201  2 Re 2.85
4 Re 0.2168 0.2168 0.2176  2 Hg 2.85

The formation energy from the elements comes out at 551.9 meV per atom. The calculated volume is 107.44 Å³/f.u. As for the electronic total energy: -0.256 Ry/atom.



# 9
Below is an optimized crystal structure of Tb2Pm4Pr2Nd, with properties calculated at the GGA-PBE level.

Cell lengths 3.6820, 9.7247, 9.7821 Å; angles 115.22, 90.00, 100.91 degrees
Closest atoms and distances in Å follow each position.
Fractional positions:
1 Pr 0.6666 0.3332 0.9988  3 Tb 3.62-3.64, 3 Pm 3.63-3.64, 4 Pr 3.67-3.68, 2 Nd 3.68
2 Pr 0.3334 0.6668 0.0012  3 Tb 3.62-3.64, 3 Pm 3.63-3.64, 4 Pr 3.67-3.68, 2 Nd 3.68
3 Nd 0.0000 0.0000 0.0000  6 Pm 3.64-3.65, 4 Pr 3.68, 2 Nd 3.68
4 Tb 0.1478 0.2956 0.6658  7 Pm 3.60-3.67, 3 Pr 3.62-3.64, 2 Tb 3.68
5 Tb 0.8522 0.7044 0.3342  7 Pm 3.60-3.67, 3 Pr 3.62-3.64, 2 Tb 3.68
6 Pm 0.5187 0.0374 0.3358  5 Pm 3.58-3.69, 4 Tb 3.60-3.67, 1 Pr 3.63, 2 Nd 3.65
7 Pm 0.4813 0.9626 0.6642  5 Pm 3.58-3.69, 4 Tb 3.60-3.67, 1 Pr 3.63, 2 Nd 3.65
8 Pm 0.1861 0.3721 0.3346  6 Pm 3.60-3.69, 3 Tb 3.62-3.67, 1 Nd 3.64, 2 Pr 3.64
9 Pm 0.8139 0.6279 0.6654  6 Pm 3.60-3.69, 3 Tb 3.62-3.67, 1 Nd 3.64, 2 Pr 3.64

The formation energy from the elements comes out at 4.4 meV per atom. The calculated volume is 309.86 Å³/f.u. As for the electronic total energy: -0.347 Ry/atom.



# 10
Below is an optimized crystal structure of Li2PaPd3, with properties calculated at the GGA-PBE level.

Cell lengths 4.3127, 4.3127, 12.5417 Å; angles 90.00, 90.00, 120.00 degrees
Closest atoms and distances in Å follow each position.
Fractional positions:
1 Pd 0.3333 0.6667 0.4376  3 Li 2.61
2 Pd 0.6667 0.3333 0.5624  3 Li 2.61
3 Pd 0.6667 0.3333 0.0799  7 Li 2.57-2.68
4 Pd 0.3333 0.6667 0.9201  7 Li 2.57-2.68
5 Pd 0.0000 0.0000 0.2031  4 Li 2.55-2.65
6 Pd 0.0000 0.0000 0.7969  4 Li 2.55-2.65
7 Li 0.3333 0.6667 0.1303  7 Pd 2.57-2.65
8 Li 0.6667 0.3333 0.8697  7 Pd 2.57-2.65
9 Li 0.0000 0.0000 0.0000  8 Pd 2.55-2.68
10 Li 0.0000 0.0000 0.5000  6 Pd 2.61
11 Pa 0.3333 0.6667 0.6853  8 Pd 2.86-3.11
12 Pa 0.6667 0.3333 0.3147  8 Pd 2.86-3.11

The formation energy from the elements comes out at -480.1 meV per atom. The calculated volume is 101.01 Å³/f.u. As for the electronic total energy: -0.389 Ry/atom.



# 11
Below is an optimized crystal structure of HfPaOs4, with properties calculated at the GGA-PBE level.

Cell lengths 5.3113, 5.3113, 5.3113 Å; angles 60.00, 60.00, 60.00 degrees
Closest atoms and distances in Å follow each position.
Fractional positions:
1 Os 0.6254 0.6254 0.6254  6 Os 2.65-2.66
2 Os 0.1237 0.6254 0.6254  6 Os 2.65-2.66
3 Os 0.6254 0.1237 0.6254  6 Os 2.65-2.66
4 Os 0.6254 0.6254 0.1237  6 Os 2.65-2.66
5 Hf 0.0000 0.0000 0.0000  12 Os 3.11, 4 Pa 3.25
6 Pa 0.2500 0.2500 0.2500  12 Os 3.11, 4 Hf 3.25

The formation energy from the elements comes out at -246.0 meV per atom. The calculated volume is 105.95 Å³/f.u. As for the electronic total energy: -0.807 Ry/atom.



# 12
Below is an optimized crystal structure of LaSmAlPb, with properties calculated at the GGA-PBE level.

Cell lengths 5.4712, 5.4712, 5.4712 Å; angles 60.00, 60.00, 60.00 degrees
Closest atoms and distances in Å follow each position.
Fractional positions:
1 Sm 0.0000 0.0000 0.0000  4 Al 3.35, 4 Pb 3.35
2 La 0.5000 0.5000 0.5000  4 Pb 3.35, 4 Al 3.35
3 Al 0.2500 0.2500 0.2500  4 La 3.35, 4 Sm 3.35
4 Pb 0.7500 0.7500 0.7500  4 La 3.35, 4 Sm 3.35

The formation energy from the elements comes out at -378.8 meV per atom. The calculated volume is 115.81 Å³/f.u. As for the electronic total energy: -0.342 Ry/atom.



The lowest electronic total energy belongs to which entry? HfPaOs4